PBE ScPbSeO5, relaxed; formation energy (no corrections) = -1.591 eV per atom
1.0
3.741 -4.696 0.000
3.741 4.696 0.000
-3.648 0.000 6.948
Sc Pb Se O
2 2 2 10
direct
0.000 0.500 0.000
0.500 0.000 0.500
0.049 0.951 0.750
0.951 0.049 0.250
0.449 0.551 0.750
0.551 0.449 0.250
0.195 0.805 0.250
0.207 0.269 0.092
0.269 0.207 0.592
0.301 0.629 0.902
0.371 0.699 0.598
0.629 0.301 0.402
0.699 0.371 0.098
0.731 0.793 0.408
0.793 0.731 0.908
0.805 0.195 0.750